Record 1
VASP calculation (PBE-GGA) on a relaxed structure of SmPb4S5.

Lattice parameters (Å, degrees): 7.350 7.350 7.350 99.44 99.44 132.21
Atoms (fractional coordinates):
1 Sm 0.000 0.000 0.000
2 Pb 0.198 0.604 0.801
3 Pb 0.396 0.198 0.594
4 Pb 0.604 0.802 0.406
5 Pb 0.802 0.396 0.199
6 S 0.099 0.279 0.378
7 S 0.279 0.901 0.180
8 S 0.500 0.500 0.000
9 S 0.721 0.099 0.820
10 S 0.901 0.721 0.622

Properties
**Volume**: 26.88 Å³ per atom
**Uncorrected energy**: -4.83 eV/atom
**DOS at the Fermi energy**: 0.281 states/eV per atom
**Formation energy from raw total energies**: -0.815 eV/atom
**SG**: I4/m

=====

Record 2
VASP calculation (PBE-GGA) on a relaxed structure of BaPuNiSe4.

Lattice parameters (Å, degrees): 7.020 5.989 8.984 90.00 106.89 90.00
Atoms (fractional coordinates):
1 Ba 0.240 0.250 0.436
2 Ba 0.760 0.750 0.564
3 Pu 0.238 0.250 0.944
4 Pu 0.762 0.750 0.056
5 Ni 0.257 0.750 0.175
6 Ni 0.743 0.250 0.825
7 Se 0.061 0.750 0.349
8 Se 0.081 0.750 0.914
9 Se 0.484 0.508 0.779
10 Se 0.484 0.992 0.779
11 Se 0.516 0.008 0.221
12 Se 0.516 0.492 0.221
13 Se 0.919 0.250 0.086
14 Se 0.939 0.250 0.651

Properties
**Volume**: 25.82 Å³ per atom
**Uncorrected energy**: -6.32 eV/atom
**DOS at the Fermi energy**: 1.656 states/eV per atom
**Formation energy from raw total energies**: -1.178 eV/atom
**SG**: P2_1/m

=====

Record 3
VASP calculation (PBE-GGA) on a relaxed structure of Ce4Zn2In5.

Lattice parameters (Å, degrees): 8.153 3.223 10.471 90.00 94.12 90.00
Atoms (fractional coordinates):
1 Ce 0.160 0.000 0.377
2 Ce 0.268 0.000 0.949
3 Ce 0.732 0.000 0.051
4 Ce 0.840 0.000 0.623
5 Zn 0.051 0.500 0.129
6 Zn 0.949 0.500 0.871
7 In 0.199 0.500 0.666
8 In 0.437 0.500 0.205
9 In 0.500 0.500 0.500
10 In 0.563 0.500 0.795
11 In 0.801 0.500 0.334

Properties
**Volume**: 24.95 Å³ per atom
**Uncorrected energy**: -3.95 eV/atom
**DOS at the Fermi energy**: 2.056 states/eV per atom
**ΔH_f (0 K)**: -0.32 eV/atom
**SG**: P2/m

=====

Record 4
VASP calculation (PBE-GGA) on a relaxed structure of Re2SbAu.

Lattice parameters (Å, degrees): 10.227 10.227 10.227 157.60 157.60 31.89
Atoms (fractional coordinates):
1 Re 0.057 0.625 0.932
2 Re 0.375 0.307 0.432
3 Re 0.693 0.125 0.068
4 Re 0.875 0.943 0.568
5 Sb 0.250 0.750 0.500
6 Sb 0.500 0.500 0.000
7 Au 0.000 0.000 0.000
8 Au 0.750 0.250 0.500

Properties
**Volume**: 19.41 Å³ per atom
**Uncorrected energy**: -7.32 eV/atom
**DOS at the Fermi energy**: 1.087 states/eV per atom
**Formation energy from raw total energies**: 0.756 eV/atom
**SG**: I-42d

=====

Record 5
VASP calculation (PBE-GGA) on a relaxed structure of LaCdTcBi2.

Lattice parameters (Å, degrees): 5.602 5.602 5.147 90.00 90.00 90.00
Atoms (fractional coordinates):
1 La 0.000 0.000 0.000
2 Cd 0.500 0.500 0.500
3 Tc 0.500 0.500 0.000
4 Bi 0.000 0.500 0.500
5 Bi 0.500 0.000 0.500

Properties
**Volume**: 32.31 Å³ per atom
**Uncorrected energy**: -4.09 eV/atom
**DOS at the Fermi energy**: 1.113 states/eV per atom
**ΔH_f (0 K)**: 0.70 eV/atom
**SG**: P4/mmm

=====

Record 6
VASP calculation (PBE-GGA) on a relaxed structure of Pr3PuHg6.

Lattice parameters (Å, degrees): 9.414 5.277 11.646 90.00 109.55 90.00
Atoms (fractional coordinates):
1 Pr 0.021 0.250 0.378
2 Pr 0.147 0.750 0.215
3 Pr 0.279 0.250 0.982
4 Pr 0.721 0.750 0.018
5 Pr 0.853 0.250 0.785
6 Pr 0.979 0.750 0.622
7 Pu 0.451 0.250 0.584
8 Pu 0.549 0.750 0.416
9 Hg 0.029 0.750 0.921
10 Hg 0.173 0.250 0.687
11 Hg 0.248 0.750 0.512
12 Hg 0.350 0.750 0.822
13 Hg 0.353 0.250 0.288
14 Hg 0.441 0.750 0.126
15 Hg 0.559 0.250 0.874
16 Hg 0.647 0.750 0.712
17 Hg 0.650 0.250 0.178
18 Hg 0.752 0.250 0.488
19 Hg 0.827 0.750 0.313
20 Hg 0.971 0.250 0.079

Properties
**Volume**: 27.26 Å³ per atom
**Uncorrected energy**: -3.40 eV/atom
**DOS at the Fermi energy**: 1.526 states/eV per atom
**ΔH_f (0 K)**: -0.35 eV/atom
**SG**: P2_1/m